# 1
# Sc8Al2Co

Sc8Al2Co after structural relaxation (PBE, Alexandria). Values from VASP.

Calculated values
- Space group: C2/m, No. 12
- Electronic total energy: -67.86 eV/f.u.
- Total moment: 1.0 μB/f.u.

The structure in Quantum ESPRESSO input format:
```
&SYSTEM
  ibrav = 0, nat = 11, ntyp = 3
/
ATOMIC_SPECIES
Sc 44.96 Sc.upf
Al 26.98 Al.upf
Co 58.93 Co.upf
CELL_PARAMETERS angstrom
7.932 -2.487 0.000
7.932 2.487 0.000
-2.581 0.000 5.859
ATOMIC_POSITIONS crystal
Sc 0.000 0.000 0.247
Sc 0.000 0.000 0.753
Sc 0.191 0.191 0.192
Sc 0.373 0.373 0.134
Sc 0.374 0.374 0.611
Sc 0.626 0.626 0.389
Sc 0.627 0.627 0.866
Sc 0.809 0.809 0.808
Al 0.185 0.185 0.686
Al 0.815 0.815 0.314
Co 0.500 0.500 0.000
```

=====

# 2
# LiInSbIr

LiInSbIr after structural relaxation (PBE, Alexandria). Values from VASP.

Calculated values
- Space group: F-43m, No. 216
- Total moment: 0.0 μB/f.u.
- Raw formation energy: -0.23 eV/atom

The structure in Quantum ESPRESSO input format:
```
&SYSTEM
  ibrav = 0, nat = 4, ntyp = 4
/
ATOMIC_SPECIES
Li 6.94 Li.upf
In 114.82 In.upf
Sb 121.76 Sb.upf
Ir 192.22 Ir.upf
CELL_PARAMETERS angstrom
0.000 3.303 3.303
3.303 0.000 3.303
3.303 3.303 0.000
ATOMIC_POSITIONS crystal
Li 0.000 0.000 0.000
In 0.250 0.250 0.250
Sb 0.750 0.750 0.750
Ir 0.500 0.500 0.500
```